(1)
A geometry-optimized Er2CuNi9 structure. Source: the Alexandria database, functional GGA-PBE.

Properties
Magnetization (μB/f.u.): 2.73
Formation enthalpy at 0 K (kcal/mol of atoms): -4.0

The structure in POSCAR format:
```
Er2CuNi9
1.0
-2.590 -0.801 4.053
0.874 -3.958 2.710
4.782 2.490 6.482
Ni Er Cu
9 2 1
direct
0.418 0.920 0.245
0.500 0.500 0.500
0.582 0.582 0.755
0.333 0.333 0.001
0.667 0.667 0.999
0.920 0.418 0.245
0.080 0.582 0.755
0.582 0.080 0.755
0.418 0.418 0.245
0.134 0.134 0.598
0.866 0.866 0.402
0.000 0.000 0.000
```

---

(2)
A geometry-optimized CaAg3Rh structure. Source: the Alexandria database, functional GGA-PBE.

Properties
Magnetization (μB/f.u.): 0.00
Formation enthalpy at 0 K (kcal/mol of atoms): 8.7
Relative energy among the computed polymorphs (eV/atom): 0.000

The structure in POSCAR format:
```
CaAg3Rh
1.0
5.055 0.000 0.000
0.000 5.055 0.000
0.000 0.000 5.055
Ca Rh Ag
1 1 3
direct
0.500 0.500 0.500
0.000 0.000 0.000
0.000 0.500 0.000
0.500 0.000 0.000
0.000 0.000 0.500
```

---

(3)
A geometry-optimized PaGaCl5 structure. Source: the Alexandria database, functional GGA-PBE.

Properties
Magnetization (μB/f.u.): 1.00
E_form (uncorrected) (eV per atom): -1.531

The structure in POSCAR format:
```
PaGaCl5
1.0
-1.194 2.839 -6.922
-7.340 1.752 -0.683
-1.509 10.430 0.331
Cl Ga Pa
10 2 2
direct
0.906 0.094 0.750
0.287 0.174 0.863
0.331 0.762 0.534
0.762 0.331 0.034
0.094 0.906 0.250
0.713 0.826 0.137
0.826 0.713 0.637
0.669 0.238 0.466
0.238 0.669 0.966
0.174 0.287 0.363
0.506 0.494 0.750
0.494 0.506 0.250
0.000 0.000 0.500
0.000 0.000 0.000
```

---

(4)
A geometry-optimized Hg2WSe structure. Source: the Alexandria database, functional GGA-PBE.

Properties
Magnetization (μB/f.u.): 0.00
E_form (uncorrected) (eV per atom): 0.345

The structure in POSCAR format:
```
Hg2WSe
1.0
7.036 0.121 -0.002
4.555 5.364 0.002
-5.243 -3.911 2.595
Hg W Se
2 1 1
direct
0.074 0.074 0.000
0.737 0.237 0.500
0.270 0.770 0.500
0.419 0.419 0.000
```

---

(5)
A geometry-optimized Er8Hg4CSe3 structure. Source: the Alexandria database, functional GGA-PBE.

Properties
Magnetization (μB/f.u.): 0.00
E_form (uncorrected) (eV per atom): -0.910

The structure in POSCAR format:
```
Er8Hg4CSe3
1.0
7.746 0.000 0.000
0.000 8.779 0.719
-3.873 -3.874 5.477
Hg Er C Se
4 8 1 3
direct
0.500 0.000 0.500
0.000 0.000 0.000
0.500 0.000 0.000
0.000 0.000 0.500
0.229 0.297 0.012
0.784 0.297 0.012
0.784 0.297 0.568
0.216 0.703 0.988
0.742 0.726 0.484
0.771 0.703 0.988
0.258 0.274 0.516
0.216 0.703 0.432
0.000 0.500 0.000
0.500 0.500 0.000
0.000 0.500 0.500
0.500 0.500 0.500
```

---

(6)
A geometry-optimized Cd3In5Bi3 structure. Source: the Alexandria database, functional GGA-PBE.

Properties
Magnetization (μB/f.u.): 0.00
Formation enthalpy at 0 K (kcal/mol of atoms): 3.2

The structure in POSCAR format:
```
Cd3In5Bi3
1.0
-0.366 -4.030 -1.607
9.196 -1.660 2.070
-6.788 -1.959 6.457
In Bi Cd
5 3 3
direct
0.500 0.000 0.359
0.500 0.667 0.333
0.500 0.333 0.667
0.500 0.359 0.000
0.500 0.641 0.641
0.000 0.408 0.408
0.000 0.000 0.592
0.000 0.592 0.000
0.500 0.000 0.819
0.500 0.181 0.181
0.500 0.819 0.000
```

---

(7)
A geometry-optimized Sr2SbOs structure. Source: the Alexandria database, functional GGA-PBE.

Properties
Magnetization (μB/f.u.): 0.00
E_form (uncorrected) (eV per atom): 0.075

The structure in POSCAR format:
```
Sr2SbOs
1.0
11.259 0.000 0.000
0.000 11.259 0.000
5.630 5.630 2.522
Os Sb Sr
2 2 4
direct
0.000 0.000 0.000
0.750 0.250 0.500
0.250 0.750 0.500
0.500 0.500 0.000
0.799 0.125 0.250
0.875 0.049 0.750
0.951 0.625 0.250
0.375 0.201 0.750
```

---

(8)
A geometry-optimized VFeSi structure. Source: the Alexandria database, functional GGA-PBE.

Properties
Magnetization (μB/f.u.): 1.02
E_form (uncorrected) (eV per atom): -0.508

The structure in POSCAR format:
```
VFeSi
1.0
-5.510 0.036 -2.813
0.165 -6.621 -0.406
0.267 2.944 6.317
Fe Si V
6 6 6
direct
0.003 0.500 0.000
0.003 0.000 0.000
0.752 0.169 0.252
0.500 0.417 0.748
0.500 0.831 0.748
0.752 0.583 0.252
0.424 0.175 0.336
0.424 0.661 0.336
0.088 0.339 0.664
0.088 0.825 0.664
0.776 0.785 0.071
0.706 0.215 0.929
0.343 0.753 0.005
0.761 0.558 0.616
0.759 0.030 0.560
0.199 0.970 0.440
0.337 0.247 0.995
0.145 0.442 0.384
```

---

(9)
A geometry-optimized Ca3CdBr structure. Source: the Alexandria database, functional GGA-PBE.

Properties
Magnetization (μB/f.u.): 0.00
Relative energy among the computed polymorphs (eV/atom): 0.000
E_form (uncorrected) (eV per atom): -0.362

The structure in POSCAR format:
```
Ca3CdBr
1.0
-2.683 -4.824 0.800
1.862 -1.852 -4.920
4.521 -2.100 2.502
Ca Cd Br
3 1 1
direct
0.500 0.000 0.000
0.000 0.500 0.000
0.000 0.000 0.500
0.500 0.500 0.500
0.000 0.000 0.000
```

---

(10)
A geometry-optimized TbNdPbSe structure. Source: the Alexandria database, functional GGA-PBE.

Properties
Magnetization (μB/f.u.): 0.00
E_form (uncorrected) (eV per atom): -1.139

The structure in POSCAR format:
```
TbNdPbSe
1.0
-1.805 -3.474 1.973
1.278 -2.553 -3.326
5.297 -1.112 2.889
Pb Tb Nd Se
1 1 1 1
direct
0.500 0.392 0.593
0.500 0.391 0.093
0.000 0.892 0.592
0.000 0.891 0.092
```

---

(11)
A geometry-optimized ReS2Cl structure. Source: the Alexandria database, functional GGA-PBE.

Properties
Magnetization (μB/f.u.): 0.00
Relative energy among the computed polymorphs (eV/atom): 0.000
E_form (uncorrected) (eV per atom): -0.441

The structure in POSCAR format:
```
ReS2Cl
1.0
-2.877 5.670 4.133
-1.032 -3.474 4.048
10.404 1.115 5.713
Re Cl S
4 4 8
direct
0.018 0.243 0.535
0.982 0.757 0.465
0.518 0.257 0.965
0.482 0.743 0.035
0.607 0.346 0.775
0.393 0.654 0.225
0.893 0.846 0.275
0.107 0.154 0.725
0.668 0.397 0.100
0.832 0.897 0.600
0.220 0.570 0.544
0.332 0.603 0.900
0.280 0.070 0.044
0.168 0.103 0.400
0.780 0.430 0.456
0.720 0.930 0.956
```

---

(12)
A geometry-optimized Hf2Fe2Os structure. Source: the Alexandria database, functional GGA-PBE.

Properties
Magnetization (μB/f.u.): 1.38
Formation enthalpy at 0 K (kcal/mol of atoms): -4.4

The structure in POSCAR format:
```
Hf2Fe2Os
1.0
6.318 0.000 0.000
0.000 6.318 0.000
0.000 0.000 3.954
Fe Hf Os
4 4 2
direct
0.381 0.881 0.000
0.881 0.619 0.000
0.119 0.381 0.000
0.619 0.119 0.000
0.817 0.317 0.500
0.683 0.817 0.500
0.317 0.183 0.500
0.183 0.683 0.500
0.000 0.000 0.000
0.500 0.500 0.000
```